# 1
DFT (PBE-GGA) results for Mg2NbPPd after structural relaxation.

Computed properties:
ΔE_f = 1.340 eV per atom
symmetry = P4/mmm

Cell lengths 5.2791, 5.2791, 4.7618 Å; angles 90.00, 90.00, 90.00 degrees
With the nearest neighbours (Å) after each atom.
Element x y z (fractional)
Mg 0.0000 0.5000 0.0000  2 Nb 2.64
Mg 0.5000 0.0000 0.0000  2 Nb 2.64
Nb 0.0000 0.0000 0.0000  2 Pd 2.38, 4 Mg 2.64
P 0.5000 0.5000 0.5000  8 Mg 3.55, 4 Pd 3.73
Pd 0.0000 0.0000 0.5000  2 Nb 2.38

---

# 2
DFT (PBE-GGA) results for Na2CdBi2Pd5 after structural relaxation.

Computed properties:
ΔE_f = -0.224 eV per atom
symmetry = P4/mbm

Cell lengths 10.7976, 10.7976, 3.6265 Å; angles 90.00, 90.00, 90.00 degrees
With the nearest neighbours (Å) after each atom.
Element x y z (fractional)
Na 0.1657 0.3343 0.0000  3 Bi 3.01-3.29, 6 Pd 3.11-3.29
Na 0.3343 0.8343 0.0000  3 Bi 3.01-3.29, 6 Pd 3.11-3.29
Na 0.6657 0.1657 0.0000  3 Bi 3.01-3.29, 6 Pd 3.11-3.29
Na 0.8343 0.6657 0.0000  3 Bi 3.01-3.29, 6 Pd 3.11-3.29
Cd 0.0000 0.0000 0.0000  8 Pd 2.78
Cd 0.5000 0.5000 0.0000  8 Pd 2.78
Bi 0.1374 0.6374 0.0000  6 Pd 2.77-2.79, 1 Na 3.01
Bi 0.3626 0.1374 0.0000  6 Pd 2.77-2.79, 1 Na 3.01
Bi 0.6374 0.8626 0.0000  6 Pd 2.77-2.79, 1 Na 3.01
Bi 0.8626 0.3626 0.0000  6 Pd 2.77-2.79, 1 Na 3.01
Pd 0.0000 0.5000 0.5000  4 Bi 2.77
Pd 0.0434 0.8094 0.5000  2 Cd 2.78, 2 Bi 2.79, 2 Pd 2.99
Pd 0.1906 0.0434 0.5000  2 Cd 2.78, 2 Bi 2.79, 2 Pd 2.99
Pd 0.3094 0.5434 0.5000  2 Cd 2.78, 2 Bi 2.79, 2 Pd 2.99
Pd 0.4566 0.3094 0.5000  2 Cd 2.78, 2 Bi 2.79, 2 Pd 2.99
Pd 0.5000 0.0000 0.5000  4 Bi 2.77
Pd 0.5434 0.6906 0.5000  2 Cd 2.78, 2 Bi 2.79, 2 Pd 2.99
Pd 0.6906 0.4566 0.5000  2 Cd 2.78, 2 Bi 2.79, 2 Pd 2.99
Pd 0.8094 0.9566 0.5000  2 Cd 2.78, 2 Bi 2.79, 2 Pd 2.99
Pd 0.9566 0.1906 0.5000  2 Cd 2.78, 2 Bi 2.79, 2 Pd 2.99

---

# 3
DFT (PBE-GGA) results for La4Zn5 after structural relaxation.

Computed properties:
ΔE_f = -0.199 eV per atom
symmetry = P6_3/mcm

Cell lengths 9.1282, 9.1282, 6.5509 Å; angles 90.00, 90.00, 120.00 degrees
With the nearest neighbours (Å) after each atom.
Element x y z (fractional)
La 0.0000 0.0000 0.0000  6 Zn 3.23, 2 La 3.28
La 0.0000 0.0000 0.5000  6 Zn 3.23, 2 La 3.28
La 0.0000 0.3720 0.2500  3 Zn 2.95-3.13
La 0.0000 0.6280 0.7500  3 Zn 2.95-3.13
La 0.3720 0.0000 0.2500  3 Zn 2.95-3.13
La 0.3720 0.3720 0.7500  3 Zn 2.95-3.13
La 0.6280 0.0000 0.7500  3 Zn 2.95-3.13
La 0.6280 0.6280 0.2500  3 Zn 2.95-3.13
Zn 0.0000 0.3044 0.7500  5 La 2.95-3.23
Zn 0.0000 0.6956 0.2500  5 La 2.95-3.23
Zn 0.3044 0.0000 0.7500  5 La 2.95-3.23
Zn 0.3044 0.3044 0.2500  5 La 2.95-3.23
Zn 0.3333 0.6667 0.0000  8 Zn 3.28-3.58, 6 La 3.32
Zn 0.3333 0.6667 0.5000  8 Zn 3.28-3.58, 6 La 3.32
Zn 0.6667 0.3333 0.0000  8 Zn 3.28-3.58, 6 La 3.32
Zn 0.6667 0.3333 0.5000  8 Zn 3.28-3.58, 6 La 3.32
Zn 0.6956 0.0000 0.2500  5 La 2.95-3.23
Zn 0.6956 0.6956 0.7500  5 La 2.95-3.23

---

# 4
DFT (PBE-GGA) results for Pm3NdTh2Se6 after structural relaxation.

Computed properties:
raw formation energy = -1726 meV/atom
symmetry = C2/m

Cell lengths 7.2499, 7.2499, 7.3186 Å; angles 99.52, 99.52, 119.81 degrees
With the nearest neighbours (Å) after each atom.
Element x y z (fractional)
Pm 0.0000 0.0000 0.0000  6 Se 2.96
Pm 0.3366 0.6634 0.0000  6 Se 2.95-2.97
Pm 0.6634 0.3366 0.0000  6 Se 2.95-2.97
Nd 0.5000 0.5000 0.5000  6 Se 2.99-3.00
Th 0.1675 0.8325 0.5000  6 Se 2.97-2.99
Th 0.8325 0.1675 0.5000  6 Se 2.97-2.99
Se 0.0802 0.4150 0.2456  3 Pm 2.96-2.97, 2 Th 2.98-2.99, 1 Nd 3.00
Se 0.2482 0.2482 0.7501  3 Pm 2.95-2.96, 2 Th 2.97, 1 Nd 2.99
Se 0.4150 0.0802 0.2456  3 Pm 2.96-2.97, 2 Th 2.98-2.99, 1 Nd 3.00
Se 0.5850 0.9198 0.7544  3 Pm 2.96-2.97, 2 Th 2.98-2.99, 1 Nd 3.00
Se 0.7518 0.7518 0.2499  3 Pm 2.95-2.96, 2 Th 2.97, 1 Nd 2.99
Se 0.9198 0.5850 0.7544  3 Pm 2.96-2.97, 2 Th 2.98-2.99, 1 Nd 3.00

---

# 5
DFT (PBE-GGA) results for YTa5 after structural relaxation.

Computed properties:
ΔE_f = 0.267 eV per atom
symmetry = Cmmm

Cell lengths 4.8136, 10.2508, 4.8063 Å; angles 90.00, 90.00, 90.00 degrees
With the nearest neighbours (Å) after each atom.
Element x y z (fractional)
Y 0.0000 0.0000 0.0000  10 Ta 3.01-3.32
Y 0.5000 0.5000 0.0000  10 Ta 3.01-3.32
Ta 0.0000 0.1826 0.5000  6 Ta 2.78-3.05, 2 Y 3.05
Ta 0.0000 0.3243 0.0000  6 Ta 2.81-3.00, 2 Y 3.01
Ta 0.0000 0.5000 0.5000  10 Ta 3.00-3.25
Ta 0.0000 0.6757 0.0000  6 Ta 2.81-3.00, 2 Y 3.01
Ta 0.0000 0.8174 0.5000  6 Ta 2.78-3.05, 2 Y 3.05
Ta 0.5000 0.0000 0.5000  10 Ta 3.00-3.25
Ta 0.5000 0.1757 0.0000  6 Ta 2.81-3.00, 2 Y 3.01
Ta 0.5000 0.3174 0.5000  6 Ta 2.78-3.05, 2 Y 3.05
Ta 0.5000 0.6826 0.5000  6 Ta 2.78-3.05, 2 Y 3.05
Ta 0.5000 0.8243 0.0000  6 Ta 2.81-3.00, 2 Y 3.01

---

# 6
DFT (PBE-GGA) results for MnPbSCl2 after structural relaxation.

Computed properties:
raw formation energy = -617 meV/atom
symmetry = P4/mmm

Cell lengths 4.8677, 4.8677, 4.9782 Å; angles 90.00, 90.00, 90.00 degrees
With the nearest neighbours (Å) after each atom.
Element x y z (fractional)
Mn 0.0000 0.0000 0.0000  4 Cl 2.43, 2 S 2.49
Pb 0.5000 0.5000 0.5000  4 S 3.44, 8 Cl 3.48
S 0.0000 0.0000 0.5000  2 Mn 2.49
Cl 0.0000 0.5000 0.0000  2 Mn 2.43
Cl 0.5000 0.0000 0.0000  2 Mn 2.43

---

# 7
DFT (PBE-GGA) results for LiHfTiMo after structural relaxation.

Computed properties:
ΔE_f = 0.065 eV per atom
symmetry = F-43m

Cell lengths 6.4629, 6.4629, 6.4629 Å; angles 90.00, 90.00, 90.00 degrees
With the nearest neighbours (Å) after each atom.
Element x y z (fractional)
Li 0.0000 0.0000 0.0000  4 Hf 2.80, 4 Ti 2.80
Li 0.0000 0.5000 0.5000  4 Hf 2.80, 4 Ti 2.80
Li 0.5000 0.0000 0.5000  4 Hf 2.80, 4 Ti 2.80
Li 0.5000 0.5000 0.0000  4 Hf 2.80, 4 Ti 2.80
Hf 0.2500 0.2500 0.2500  4 Mo 2.80, 4 Li 2.80
Hf 0.2500 0.7500 0.7500  4 Mo 2.80, 4 Li 2.80
Hf 0.7500 0.2500 0.7500  4 Mo 2.80, 4 Li 2.80
Hf 0.7500 0.7500 0.2500  4 Mo 2.80, 4 Li 2.80
Ti 0.2500 0.2500 0.7500  4 Li 2.80, 4 Mo 2.80
Ti 0.2500 0.7500 0.2500  4 Li 2.80, 4 Mo 2.80
Ti 0.7500 0.2500 0.2500  4 Li 2.80, 4 Mo 2.80
Ti 0.7500 0.7500 0.7500  4 Li 2.80, 4 Mo 2.80
Mo 0.0000 0.0000 0.5000  4 Ti 2.80, 4 Hf 2.80
Mo 0.0000 0.5000 0.0000  4 Ti 2.80, 4 Hf 2.80
Mo 0.5000 0.0000 0.0000  4 Ti 2.80, 4 Hf 2.80
Mo 0.5000 0.5000 0.5000  4 Ti 2.80, 4 Hf 2.80

---

# 8
DFT (PBE-GGA) results for YHo6Th12 after structural relaxation.

Computed properties:
ΔE_f = 0.246 eV per atom
symmetry = R-3m

Cell lengths 8.7169, 8.7169, 8.7169 Å; angles 99.57, 99.57, 99.57 degrees
With the nearest neighbours (Å) after each atom.
Element x y z (fractional)
Y 0.0000 0.0000 0.0000  6 Ho 3.42, 6 Th 3.81
Ho 0.0991 0.0991 0.6608  1 Ho 3.10, 1 Y 3.42, 2 Th 3.43
Ho 0.0991 0.6608 0.0991  1 Ho 3.10, 1 Y 3.42, 2 Th 3.43
Ho 0.3392 0.9009 0.9009  1 Ho 3.10, 1 Y 3.42, 2 Th 3.43
Ho 0.6608 0.0991 0.0991  1 Ho 3.10, 1 Y 3.42, 2 Th 3.43
Ho 0.9009 0.3392 0.9009  1 Ho 3.10, 1 Y 3.42, 2 Th 3.43
Ho 0.9009 0.9009 0.3392  1 Ho 3.10, 1 Y 3.42, 2 Th 3.43
Th 0.0831 0.3496 0.3496  6 Th 3.40-3.55, 2 Ho 3.75
Th 0.2468 0.5000 0.7532  6 Th 3.37-3.51, 4 Ho 3.43-3.63
Th 0.2468 0.7532 0.5000  6 Th 3.37-3.51, 4 Ho 3.43-3.63
Th 0.3496 0.0831 0.3496  6 Th 3.40-3.55, 2 Ho 3.75
Th 0.3496 0.3496 0.0831  6 Th 3.40-3.55, 2 Ho 3.75
Th 0.5000 0.2468 0.7532  6 Th 3.37-3.51, 4 Ho 3.43-3.63
Th 0.5000 0.7532 0.2468  6 Th 3.37-3.51, 4 Ho 3.43-3.63
Th 0.6504 0.6504 0.9169  6 Th 3.40-3.55, 2 Ho 3.75
Th 0.6504 0.9169 0.6504  6 Th 3.40-3.55, 2 Ho 3.75
Th 0.7532 0.2468 0.5000  6 Th 3.37-3.51, 4 Ho 3.43-3.63
Th 0.7532 0.5000 0.2468  6 Th 3.37-3.51, 4 Ho 3.43-3.63
Th 0.9169 0.6504 0.6504  6 Th 3.40-3.55, 2 Ho 3.75

---

# 9
DFT (PBE-GGA) results for LaTb2PrNd2 after structural relaxation.

Computed properties:
ΔE_f = 0.150 eV per atom
symmetry = Pnnm

Cell lengths 7.0973, 16.5995, 3.5799 Å; angles 90.00, 90.00, 90.00 degrees
With the nearest neighbours (Å) after each atom.
Element x y z (fractional)
La 0.0000 0.0000 0.0000  2 Pr 3.55, 2 La 3.58, 4 Tb 3.61, 4 Nd 3.67
La 0.5000 0.5000 0.5000  2 Pr 3.55, 2 La 3.58, 4 Tb 3.61, 4 Nd 3.67
Tb 0.2501 0.1560 0.5000  4 Nd 3.53-3.56, 2 Tb 3.58, 2 Pr 3.61, 2 La 3.61
Tb 0.2499 0.6560 0.0000  4 Nd 3.53-3.56, 2 Tb 3.58, 2 Pr 3.61, 2 La 3.61
Tb 0.7501 0.3440 0.0000  4 Nd 3.53-3.56, 2 Tb 3.58, 2 Pr 3.61, 2 La 3.61
Tb 0.7499 0.8440 0.5000  4 Nd 3.53-3.56, 2 Tb 3.58, 2 Pr 3.61, 2 La 3.61
Pr 0.0000 0.5000 0.5000  2 La 3.55, 2 Pr 3.58, 4 Tb 3.61, 4 Nd 3.66
Pr 0.5000 0.0000 0.0000  2 La 3.55, 2 Pr 3.58, 4 Tb 3.61, 4 Nd 3.66
Nd 0.2487 0.3396 0.0000  4 Tb 3.53-3.56, 2 Nd 3.58, 2 Pr 3.66, 2 La 3.67
Nd 0.2513 0.8396 0.5000  4 Tb 3.53-3.56, 2 Nd 3.58, 2 Pr 3.66, 2 La 3.67
Nd 0.7487 0.1604 0.5000  4 Tb 3.53-3.56, 2 Nd 3.58, 2 Pr 3.66, 2 La 3.67
Nd 0.7513 0.6604 0.0000  4 Tb 3.53-3.56, 2 Nd 3.58, 2 Pr 3.66, 2 La 3.67

---

# 10
DFT (PBE-GGA) results for LaSiIr2 after structural relaxation.

Computed properties:
raw formation energy = -429 meV/atom
symmetry = I-42d

Cell lengths 7.2445, 7.2445, 6.1717 Å; angles 90.00, 90.00, 90.00 degrees
With the nearest neighbours (Å) after each atom.
Element x y z (fractional)
La 0.0000 0.0000 0.0000  2 Si 3.09, 8 Ir 3.11-3.18
La 0.0000 0.5000 0.2500  2 Si 3.09, 8 Ir 3.11-3.18
La 0.5000 0.0000 0.7500  2 Si 3.09, 8 Ir 3.11-3.18
La 0.5000 0.5000 0.5000  2 Si 3.09, 8 Ir 3.11-3.18
Si 0.0000 0.0000 0.5000  4 Ir 2.31
Si 0.0000 0.5000 0.7500  4 Ir 2.31
Si 0.5000 0.0000 0.2500  4 Ir 2.31
Si 0.5000 0.5000 0.0000  4 Ir 2.31
Ir 0.1674 0.2500 0.6250  2 Si 2.31
Ir 0.2500 0.6674 0.8750  2 Si 2.31
Ir 0.2500 0.8326 0.3750  2 Si 2.31
Ir 0.3326 0.2500 0.1250  2 Si 2.31
Ir 0.6674 0.7500 0.1250  2 Si 2.31
Ir 0.7500 0.1674 0.3750  2 Si 2.31
Ir 0.7500 0.3326 0.8750  2 Si 2.31
Ir 0.8326 0.7500 0.6250  2 Si 2.31

---

# 11
DFT (PBE-GGA) results for GaTe2Pd after structural relaxation.

Computed properties:
raw formation energy = -274 meV/atom
symmetry = I-42d

Cell lengths 6.1964, 6.1964, 12.2188 Å; angles 90.00, 90.00, 90.00 degrees
With the nearest neighbours (Å) after each atom.
Element x y z (fractional)
Ga 0.0000 0.0000 0.0000  4 Te 2.71
Ga 0.0000 0.5000 0.2500  4 Te 2.71
Ga 0.5000 0.0000 0.7500  4 Te 2.71
Ga 0.5000 0.5000 0.5000  4 Te 2.71
Te 0.2398 0.2500 0.6250  2 Pd 2.63, 2 Ga 2.71
Te 0.2500 0.7398 0.8750  2 Pd 2.63, 2 Ga 2.71
Te 0.2500 0.7602 0.3750  2 Pd 2.63, 2 Ga 2.71
Te 0.2602 0.2500 0.1250  2 Pd 2.63, 2 Ga 2.71
Te 0.7398 0.7500 0.1250  2 Pd 2.63, 2 Ga 2.71
Te 0.7500 0.2398 0.3750  2 Pd 2.63, 2 Ga 2.71
Te 0.7500 0.2602 0.8750  2 Pd 2.63, 2 Ga 2.71
Te 0.7602 0.7500 0.6250  2 Pd 2.63, 2 Ga 2.71
Pd 0.0000 0.0000 0.5000  4 Te 2.63
Pd 0.0000 0.5000 0.7500  4 Te 2.63
Pd 0.5000 0.0000 0.2500  4 Te 2.63
Pd 0.5000 0.5000 0.0000  4 Te 2.63

---

# 12
DFT (PBE-GGA) results for Pm8Hg4CSe3 after structural relaxation.

Computed properties:
raw formation energy = -913 meV/atom
symmetry = R-3m

Cell lengths 8.9996, 8.9996, 8.9996 Å; angles 53.94, 53.94, 53.94 degrees
With the nearest neighbours (Å) after each atom.
Element x y z (fractional)
Pm 0.2413 0.2413 0.2413  3 Se 2.92, 3 Hg 3.17
Pm 0.2686 0.7181 0.7181  1 C 2.64, 2 Se 2.94
Pm 0.2819 0.2819 0.7314  1 C 2.64, 2 Se 2.94
Pm 0.2819 0.7314 0.2819  1 C 2.64, 2 Se 2.94
Pm 0.7181 0.2686 0.7181  1 C 2.64, 2 Se 2.94
Pm 0.7181 0.7181 0.2686  1 C 2.64, 2 Se 2.94
Pm 0.7314 0.2819 0.2819  1 C 2.64, 2 Se 2.94
Pm 0.7587 0.7587 0.7587  3 Se 2.92, 3 Hg 3.17
Hg 0.0000 0.0000 0.0000  6 Pm 3.44
Hg 0.0000 0.5000 0.5000  6 Pm 3.17-3.19
Hg 0.5000 0.0000 0.5000  6 Pm 3.17-3.19
Hg 0.5000 0.5000 0.0000  6 Pm 3.17-3.19
C 0.5000 0.5000 0.5000  6 Pm 2.64
Se 0.0000 0.0000 0.5000  6 Pm 2.92-2.94
Se 0.0000 0.5000 0.0000  6 Pm 2.92-2.94
Se 0.5000 0.0000 0.0000  6 Pm 2.92-2.94

---

For reference, DOS(E_F) by record: 4.30 3.83 9.67 6.83 8.23 1.53 1.99 29.85 9.32 1.95 3.10 10.34 states/eV/f.u..
For reference, volume by record: 132.71 422.81 472.71 315.07 237.16 117.96 269.95 631.14 421.75 323.91 469.15 442.49 Å³/cell.